Material: PaCo2Os
Method: DFT, PBE-GGA
State: optimized geometry

Energy above the lowest structure with this stoichiometry in kJ/mol of formula units: 0
E_tot in eV/atom: -8.9668
E_form in eV per atom: -0.23
D(E_F) in states/eV/atom: 0.9977

Lattice parameters (Å, degrees): 3.940 3.940 3.859 90.00 90.00 90.00
Element x y z (fractional)
Pa1 0.000 0.000 0.000
Co1 0.000 0.500 0.500
Co2 0.500 0.000 0.500
Os1 0.500 0.500 0.000

***

Material: CsTlGeS3
Method: DFT, PBE-GGA
State: optimized geometry

ΔE_f (raw) in eV/atom: -0.583
E_tot in eV/atom: -3.9525
D(E_F) in states/eV/atom: 0.0000

Lattice parameters (Å, degrees): 7.250 7.250 10.265 103.30 103.30 67.55
Element x y z (fractional)
Cs1 0.173 0.173 0.142
Cs2 0.827 0.827 0.858
Tl1 0.218 0.782 0.500
Tl2 0.782 0.218 0.500
Ge1 0.487 0.487 0.754
Ge2 0.513 0.513 0.246
S1 0.203 0.668 0.174
S2 0.332 0.797 0.826
S3 0.349 0.349 0.568
S4 0.651 0.651 0.432
S5 0.668 0.203 0.174
S6 0.797 0.332 0.826

***

Material: BeRe2Ni
Method: DFT, PBE-GGA
State: optimized geometry

E_tot in eV/atom: -8.5667
E_form in eV per atom: 0.03
D(E_F) in states/eV/atom: 0.8208

Lattice parameters (Å, degrees): 4.563 4.563 4.563 132.74 132.74 69.07
Element x y z (fractional)
Be1 0.000 0.000 0.000
Re1 0.500 0.500 0.000
Re2 0.750 0.250 0.500
Ni1 0.250 0.750 0.500

***

Material: ScPtSe2
Method: DFT, PBE-GGA
State: optimized geometry

ΔE_f (raw) in eV/atom: -0.588
Energy above the lowest structure with this stoichiometry in kJ/mol of formula units: 158
E_tot in eV/atom: -5.4237
D(E_F) in states/eV/atom: 1.3248

Lattice parameters (Å, degrees): 4.706 4.706 4.706 60.00 60.00 60.00
Element x y z (fractional)
Sc1 0.000 0.000 0.000
Pt1 0.500 0.500 0.500
Se1 0.250 0.250 0.250
Se2 0.750 0.750 0.750